Material: Nb3HgS
Method: DFT, PBE
State: optimized geometry

a = 4.6123 Å, b = 4.6123 Å, c = 4.6123 Å
α = 90.00°, β = 90.00°, γ = 90.00°
Positions (direct):
S 0.0000 0.0000 0.0000
Hg 0.5000 0.5000 0.5000
Nb 0.5000 0.0000 0.0000
Nb 0.0000 0.0000 0.5000
Nb 0.0000 0.5000 0.0000

Values from the calculation:
For the calculated total energy, the calculation gives -6.782 eV/atom. As for the total magnetization: 0.00 μB/cell.